PBE BRh2SeF, optimized geometry; space group = P4/mmm, No. 123; calculated total energy = -27.05 eV for the cell shown; E_form (uncorrected) = -0.06 eV/atom; crystal system = tetragonal
1.0
-1.8827 3.1850 2.0849
0.5468 -1.7187 3.1194
3.7517 1.9463 0.4147
B Se F Rh
1 1 1 2
direct
0.0000 0.0000 0.0000
0.5000 0.5000 0.5000
0.0000 0.5000 0.0000
0.0000 0.0000 0.5000
0.5000 0.0000 0.0000

=====

PBE Dy6Tl2BiTe3, optimized geometry; space group = C2/m, No. 12; calculated total energy = -56.38 eV for the cell shown; E_form (uncorrected) = -0.89 eV/atom; crystal system = monoclinic
1.0
-3.3735 2.6741 -0.0976
-3.4168 -4.0457 7.2567
7.3307 5.9004 3.2626
Dy Tl Te Bi
6 2 3 1
direct
0.3357 0.4058 0.6714
0.9942 0.7476 0.9883
0.0058 0.2524 0.0117
0.6643 0.5942 0.3286
0.6681 0.0978 0.3362
0.3319 0.9022 0.6638
0.1719 0.3503 0.3438
0.8281 0.6497 0.6562
0.8370 0.1565 0.6740
0.5000 0.5000 0.0000
0.1630 0.8435 0.3260
0.5000 0.0000 0.0000

=====

PBE YMgAu2, optimized geometry; formation enthalpy at 0 K = -0.51 eV per atom; space group = F-43m, No. 216; calculated total energy = -16.64 eV for the cell shown; crystal system = cubic
1.0
4.8712 0.0000 0.0000
2.4356 4.2186 0.0000
2.4356 1.4062 3.9773
Au Mg Y
2 1 1
direct
0.0000 0.0000 0.0000
0.2500 0.2500 0.2500
0.5000 0.5000 0.5000
0.7500 0.7500 0.7500

=====

PBE TmAg2Au6, optimized geometry; formation enthalpy at 0 K = -0.23 eV per atom; space group = C2/c, No. 15; calculated total energy = -63.80 eV for the cell shown; crystal system = monoclinic
1.0
-4.5903 1.4219 -2.4882
2.1051 -2.5789 -7.5447
-3.4959 -7.4688 -0.0062
Au Tm Ag
12 2 4
direct
0.7808 0.5205 0.1064
0.2998 0.7573 0.0201
0.2808 0.1064 0.5205
0.0082 0.6211 0.3580
0.7998 0.0201 0.7573
0.7002 0.2427 0.9799
0.7192 0.8936 0.4795
0.9918 0.3789 0.6420
0.2002 0.9799 0.2427
0.4918 0.6420 0.3789
0.5082 0.3580 0.6211
0.2192 0.4795 0.8936
0.7500 0.8834 0.1166
0.2500 0.1166 0.8834
0.3132 0.3485 0.2259
0.1868 0.7741 0.6515
0.8132 0.2259 0.3485
0.6868 0.6515 0.7741

=====

PBE Cs3DyNp2Se6, optimized geometry; space group = C2/m, No. 12; calculated total energy = -70.57 eV for the cell shown; E_form (uncorrected) = -1.38 eV/atom; crystal system = monoclinic
1.0
-1.2057 -3.9868 6.1997
6.2745 -1.0048 -3.9249
2.1027 7.5864 3.7879
Np Cs Dy Se
2 3 1 6
direct
0.3333 0.6667 0.0000
0.6667 0.3333 0.0000
0.8335 0.1665 0.5000
0.1665 0.8335 0.5000
0.5000 0.5000 0.5000
0.0000 0.0000 0.0000
0.0619 0.3927 0.1856
0.6073 0.9381 0.8144
0.2691 0.2691 0.8145
0.7309 0.7309 0.1855
0.9381 0.6073 0.8144
0.3927 0.0619 0.1856

=====

PBE SrZnAu3, optimized geometry; formation enthalpy at 0 K = 0.63 eV per atom; space group = Pm-3m, No. 221; calculated total energy = -9.62 eV for the cell shown; crystal system = cubic; relative energy among the computed polymorphs = 1137.8 meV per atom
1.0
5.8384 0.0000 0.0000
0.0000 5.8384 0.0000
0.0000 0.0000 5.8384
Au Sr Zn
3 1 1
direct
0.0000 0.0000 0.5000
0.0000 0.5000 0.0000
0.5000 0.0000 0.0000
0.0000 0.0000 0.0000
0.5000 0.5000 0.5000

=====

PBE Zn4GaCu7, optimized geometry; formation enthalpy at 0 K = 0.14 eV per atom; space group = C2/m, No. 12; calculated total energy = -35.13 eV for the cell shown; crystal system = monoclinic; relative energy among the computed polymorphs = 220.7 meV per atom
1.0
4.3491 0.0000 0.0000
2.1745 6.9461 -0.3371
2.1745 0.0036 5.8902
Ga Zn Cu
1 4 7
direct
0.0000 0.0000 0.0000
0.3304 0.3620 0.9773
0.6284 0.1469 0.5962
0.6696 0.6380 0.0227
0.3716 0.8531 0.4038
0.5000 0.0000 0.0000
0.9511 0.4087 0.6892
0.3545 0.6037 0.6873
0.2218 0.2066 0.3498
0.0489 0.5913 0.3108
0.7782 0.7934 0.6502
0.6455 0.3963 0.3127

=====

PBE CdWSe2Br, optimized geometry; space group = P4/mmm, No. 123; calculated total energy = -16.05 eV for the cell shown; E_form (uncorrected) = 1.29 eV/atom; crystal system = tetragonal; relative energy among the computed polymorphs = 1108.4 meV per atom
1.0
5.2468 0.0000 0.0000
0.0000 5.2468 0.0000
0.0000 0.0000 5.1691
Se W Cd Br
2 1 1 1
direct
0.0000 0.5000 0.0000
0.5000 0.0000 0.0000
0.5000 0.5000 0.5000
0.0000 0.0000 0.0000
0.0000 0.0000 0.5000

=====

PBE Th3BiN2, optimized geometry; space group = Cmcm, No. 63; calculated total energy = -99.18 eV for the cell shown; E_form (uncorrected) = -1.13 eV/atom; crystal system = orthorhombic
1.0
-1.6943 -5.4586 -0.0447
6.9669 -2.1574 -0.6180
-0.3782 0.0576 7.3094
N Th Bi
4 6 2
direct
0.0000 0.8477 0.8477
0.5000 0.8477 0.8477
0.0000 0.1523 0.1523
0.5000 0.1523 0.1523
0.7500 0.3978 0.1820
0.2500 0.1083 0.8917
0.2500 0.6022 0.8180
0.7500 0.8180 0.6022
0.7500 0.8917 0.1083
0.2500 0.1820 0.3978
0.2500 0.6801 0.3199
0.7500 0.3199 0.6801

=====

PBE Ho3TmFe, optimized geometry; formation enthalpy at 0 K = 0.12 eV per atom; space group = Pm-3m, No. 221; calculated total energy = -26.07 eV for the cell shown; crystal system = cubic
1.0
-1.3270 4.2462 -2.7389
0.7526 -2.6341 -4.4484
-4.9966 -1.5245 0.0573
Ho Tm Fe
3 1 1
direct
0.0000 0.5000 0.0000
0.5000 0.0000 0.0000
0.0000 0.0000 0.5000
0.5000 0.5000 0.5000
0.0000 0.0000 0.0000

=====

PBE MgCr2Ag, optimized geometry; formation enthalpy at 0 K = 0.89 eV per atom; space group = I-42d, No. 122; calculated total energy = -40.29 eV for the cell shown; crystal system = tetragonal
1.0
-4.8016 2.2281 -5.4194
5.2016 -1.6051 -5.2685
-0.8070 -2.3240 -5.5353
Ag Cr Mg
2 4 2
direct
0.0000 0.0000 0.0000
0.7500 0.2500 0.5000
0.3750 0.3569 0.7500
0.6431 0.1250 0.2500
0.8750 0.8931 0.7500
0.1069 0.6250 0.2500
0.2500 0.7500 0.5000
0.5000 0.5000 0.0000

=====

PBE Ca5Bi2F, optimized geometry; space group = Cm, No. 8; calculated total energy = -28.39 eV for the cell shown; E_form (uncorrected) = -1.09 eV/atom; crystal system = monoclinic
1.0
-6.6935 2.5277 0.9190
-1.0205 -0.1059 -7.1405
2.2135 -5.6703 3.4078
Ca F Bi
5 1 2
direct
0.2560 0.7532 0.0092
0.2557 0.2557 0.0086
0.7523 0.7519 0.5046
0.7532 0.7532 0.0092
0.7529 0.2557 0.0086
0.9952 0.9956 0.9905
0.7558 0.2559 0.5117
0.2558 0.7558 0.5116

=====

PBE LaSm7Ho4, optimized geometry; formation enthalpy at 0 K = 0.00 eV per atom; space group = P-1, No. 2; calculated total energy = -56.25 eV for the cell shown; crystal system = triclinic; relative energy among the computed polymorphs = 0.0 meV per atom
1.0
6.4663 -1.8500 2.7604
0.7096 5.8330 2.2463
2.8469 -2.2962 10.9411
Ho Sm La
4 7 1
direct
0.1650 0.2189 0.3352
0.5889 0.2783 0.6648
0.4111 0.7217 0.3352
0.8350 0.7811 0.6648
0.3350 0.7769 0.6648
0.2545 0.5000 0.9989
0.9158 0.7202 0.3365
0.0842 0.2798 0.6635
0.5000 0.0000 0.0000
0.7455 0.5000 0.0011
0.6650 0.2231 0.3352
0.0000 0.0000 0.0000

=====

PBE BaSrP, optimized geometry; formation enthalpy at 0 K = 0.03 eV per atom; space group = F-43m, No. 216; calculated total energy = -8.93 eV for the cell shown; crystal system = cubic; relative energy among the computed polymorphs = 865.1 meV per atom
1.0
4.4737 1.1522 2.7385
-0.0339 -0.1139 5.3690
2.6207 -3.8869 2.6199
Ba P Sr
1 1 1
direct
0.2500 0.2500 0.2500
0.0000 0.0000 0.0000
0.5000 0.5000 0.5000

=====

PBE LaSm8Y4, optimized geometry; formation enthalpy at 0 K = 0.16 eV per atom; space group = R-3m, No. 166; calculated total energy = -66.42 eV for the cell shown; crystal system = trigonal
1.0
-0.2412 -7.3004 1.2951
4.2048 4.3847 4.2570
-8.3617 4.6598 3.4597
La Y Sm
1 4 8
direct
0.0000 0.5000 0.5000
0.5000 0.0000 0.0000
0.5000 0.5000 0.0000
0.0000 0.5000 0.0000
0.0000 0.0000 0.0000
0.9475 0.7493 0.6968
0.4379 0.2190 0.6569
0.5013 0.2507 0.3032
0.0525 0.2507 0.3032
0.9475 0.1982 0.6968
0.5621 0.7810 0.3431
0.0525 0.8018 0.3032
0.4987 0.7493 0.6968

=====

PBE BeGaCuAs2, optimized geometry; formation enthalpy at 0 K = 0.55 eV per atom; space group = P4/mmm, No. 123; calculated total energy = -17.42 eV for the cell shown; crystal system = tetragonal
1.0
-3.4155 -2.6596 -1.2067
0.1961 -2.0474 3.9572
-2.9138 2.9775 1.6849
Cu Be As Ga
1 1 2 1
direct
0.5000 0.5000 0.5000
0.0000 0.0000 0.0000
0.5000 0.0000 0.0000
0.0000 0.0000 0.5000
0.0000 0.5000 0.0000

=====

PBE B2RhW2, optimized geometry; formation enthalpy at 0 K = 0.28 eV per atom; space group = Cmcm, No. 63; calculated total energy = -90.39 eV for the cell shown; crystal system = orthorhombic
1.0
-2.6855 1.9122 -3.4030
2.4487 -2.2570 -3.2006
-4.8488 -3.3173 1.9624
W B Rh
4 4 2
direct
0.7500 0.7736 0.5471
0.7500 0.4060 0.8120
0.2500 0.5940 0.1880
0.2500 0.2264 0.4529
0.7500 0.7844 0.1945
0.7500 0.4101 0.1945
0.2500 0.5899 0.8055
0.2500 0.2156 0.8055
0.0000 0.0000 0.0000
0.5000 0.0000 0.0000

=====

PBE HoCdHg6, optimized geometry; formation enthalpy at 0 K = 0.08 eV per atom; space group = R-3m, No. 166; calculated total energy = -6.69 eV for the cell shown; crystal system = trigonal; relative energy among the computed polymorphs = 161.6 meV per atom
1.0
-2.8750 0.7994 -5.6502
-5.8558 -2.3667 -0.9683
-5.9578 6.0055 0.2682
Hg Cd Ho
6 1 1
direct
0.9279 0.4480 0.6962
0.4480 0.9279 0.6962
0.9279 0.9279 0.6962
0.0721 0.0721 0.3038
0.0721 0.5520 0.3038
0.5520 0.0721 0.3038
0.5000 0.5000 0.5000
0.0000 0.0000 0.0000

=====

PBE SrCd3, optimized geometry; formation enthalpy at 0 K = -0.29 eV per atom; space group = Pnma, No. 62; calculated total energy = -22.42 eV for the cell shown; crystal system = orthorhombic
1.0
4.9760 0.0000 0.0000
0.0000 7.8020 0.0000
0.0000 0.0000 11.3300
Cd Sr
12 4
direct
0.7500 0.7805 0.9635
0.2500 0.4192 0.6451
0.7500 0.0808 0.1451
0.7500 0.9603 0.3978
0.2500 0.5397 0.8978
0.2500 0.0397 0.6022
0.7500 0.4603 0.1022
0.7500 0.2805 0.5365
0.2500 0.9192 0.8549
0.2500 0.7195 0.4635
0.2500 0.2195 0.0365
0.7500 0.5808 0.3549
0.7500 0.7232 0.6695
0.7500 0.2232 0.8305
0.2500 0.7768 0.1695
0.2500 0.2768 0.3305

=====

PBE AsPdPb, optimized geometry; formation enthalpy at 0 K = -0.20 eV per atom; space group = Pmn2_1, No. 31; calculated total energy = -28.32 eV for the cell shown; crystal system = orthorhombic; relative energy among the computed polymorphs = 5.6 meV per atom
1.0
-0.3849 -4.2127 -0.0714
0.3239 0.0489 -4.6315
6.9785 -0.6457 0.4813
As Pd Pb
2 2 2
direct
0.0000 0.0339 0.3500
0.5000 0.9661 0.8500
0.5000 0.8608 0.5063
0.0000 0.1392 0.0063
0.0000 0.4680 0.6514
0.5000 0.5320 0.1514